a:
VASP calculation (PBE-GGA) on a relaxed structure of LiTc5.

Lattice parameters (Å, degrees): 2.994 4.422 6.885 108.73 90.00 90.00
Fractional coordinates of all 6 atoms:
Tc (0.000, 0.656, 0.313)
Tc (0.000, 0.344, 0.687)
Tc (0.500, 0.500, 0.000)
Tc (0.500, 0.175, 0.350)
Tc (0.500, 0.825, 0.650)
Li (0.000, 0.000, 0.000)

Calculated values
- SG = Cmmm

b:
VASP calculation (PBE-GGA) on a relaxed structure of LiTc5.

Lattice parameters (Å, degrees): 5.112 5.112 6.247 73.40 73.40 33.12
Fractional coordinates of all 6 atoms:
Li (0.993, 0.993, 0.026)
Tc (0.318, 0.318, 0.354)
Tc (0.653, 0.653, 0.693)
Tc (0.629, 0.629, 0.252)
Tc (0.946, 0.946, 0.587)
Tc (0.294, 0.294, 0.921)

Calculated values
- SG = Cm

Which structure is most stable? b, by 0.089 eV/atom over the runner-up.

a:
VASP calculation (PBE-GGA) on a relaxed structure of Li2Tc.

Lattice parameters (Å, degrees): 2.674 2.674 7.332 90.00 90.00 120.00
Fractional coordinates of all 3 atoms:
Li (0.333, 0.667, 0.684)
Li (0.667, 0.333, 0.316)
Tc (0.000, 0.000, 0.000)

Calculated values
- SG = P-3m1

b:
VASP calculation (PBE-GGA) on a relaxed structure of Li2Tc.

Lattice parameters (Å, degrees): 4.184 5.367 7.666 90.00 90.00 90.00
Fractional coordinates of all 12 atoms:
Tc (0.250, 0.497, 0.424)
Tc (0.750, 0.003, 0.924)
Tc (0.250, 0.997, 0.076)
Tc (0.750, 0.503, 0.576)
Li (0.250, 0.251, 0.750)
Li (0.750, 0.249, 0.250)
Li (0.250, 0.751, 0.750)
Li (0.750, 0.749, 0.250)
Li (0.250, 0.994, 0.419)
Li (0.750, 0.506, 0.919)
Li (0.250, 0.494, 0.081)
Li (0.750, 0.006, 0.581)

Calculated values
- SG = Pnma

c:
VASP calculation (PBE-GGA) on a relaxed structure of Li2Tc.

Lattice parameters (Å, degrees): 5.387 5.387 5.387 100.67 100.67 129.03
Fractional coordinates of all 6 atoms:
Li (0.664, 0.836, 0.500)
Li (0.336, 0.164, 0.500)
Li (0.836, 0.336, 0.172)
Li (0.164, 0.664, 0.828)
Tc (0.250, 0.250, 0.000)
Tc (0.750, 0.750, 0.000)

Calculated values
- SG = I4/mcm

d:
VASP calculation (PBE-GGA) on a relaxed structure of Li2Tc.

Lattice parameters (Å, degrees): 8.191 8.191 4.305 90.00 90.00 161.38
Fractional coordinates of all 6 atoms:
Li (0.623, 0.377, 0.750)
Li (0.938, 0.062, 0.750)
Li (0.062, 0.938, 0.250)
Li (0.377, 0.623, 0.250)
Tc (0.275, 0.725, 0.750)
Tc (0.725, 0.275, 0.250)

Calculated values
- SG = Cmcm

Which structure is most stable? d, by 0.022 eV/atom over the runner-up.

a:
VASP calculation (PBE-GGA) on a relaxed structure of Li2Tc.

Lattice parameters (Å, degrees): 7.240 7.240 7.240 159.91 159.91 28.55
Fractional coordinates of all 3 atoms:
Li (0.343, 0.343, 0.000)
Li (0.657, 0.657, 0.000)
Tc (0.000, 0.000, 0.000)

Calculated values
- SG = I4/mmm

b:
VASP calculation (PBE-GGA) on a relaxed structure of Li2Tc.

Lattice parameters (Å, degrees): 4.519 4.519 2.378 90.00 90.00 120.00
Fractional coordinates of all 3 atoms:
Li (0.000, 0.000, 0.833)
Li (0.333, 0.667, 0.834)
Tc (0.667, 0.333, 0.333)

Calculated values
- SG = P6/mmm

c:
VASP calculation (PBE-GGA) on a relaxed structure of Li2Tc.

Lattice parameters (Å, degrees): 5.497 5.497 6.928 74.69 74.69 26.12
Fractional coordinates of all 6 atoms:
Li (0.010, 0.010, 0.978)
Li (0.342, 0.342, 0.320)
Li (0.667, 0.667, 0.664)
Li (0.604, 0.604, 0.292)
Tc (0.931, 0.931, 0.628)
Tc (0.279, 0.279, 0.951)

Calculated values
- SG = Cm

d:
VASP calculation (PBE-GGA) on a relaxed structure of Li2Tc.

Lattice parameters (Å, degrees): 4.297 4.297 5.036 90.00 90.00 120.00
Fractional coordinates of all 6 atoms:
Li (0.000, 0.000, 0.000)
Li (0.000, 0.000, 0.500)
Li (0.333, 0.667, 0.750)
Li (0.667, 0.333, 0.250)
Tc (0.333, 0.667, 0.250)
Tc (0.667, 0.333, 0.750)

Calculated values
- SG = P6_3/mmc

Which structure is most stable? a, by 0.117 eV/atom over the runner-up.

a:
VASP calculation (PBE-GGA) on a relaxed structure of Li2Tc.

Lattice parameters (Å, degrees): 7.630 7.630 7.630 161.16 143.16 41.69
Fractional coordinates of all 6 atoms:
Li (0.264, 0.014, 0.250)
Li (0.736, 0.986, 0.750)
Li (0.426, 0.176, 0.250)
Li (0.574, 0.824, 0.750)
Tc (0.918, 0.668, 0.250)
Tc (0.082, 0.332, 0.750)

Calculated values
- SG = Imma

b:
VASP calculation (PBE-GGA) on a relaxed structure of Li2Tc.

Lattice parameters (Å, degrees): 6.742 6.742 3.125 90.00 90.00 139.76
Fractional coordinates of all 6 atoms:
Li (0.424, 0.576, 0.750)
Li (0.576, 0.424, 0.250)
Li (0.741, 0.259, 0.750)
Li (0.259, 0.741, 0.250)
Tc (0.069, 0.931, 0.750)
Tc (0.931, 0.069, 0.250)

Calculated values
- SG = Cmcm

c:
VASP calculation (PBE-GGA) on a relaxed structure of Li2Tc.

Lattice parameters (Å, degrees): 4.383 4.383 4.383 60.00 60.00 60.00
Fractional coordinates of all 3 atoms:
Li (0.250, 0.250, 0.250)
Li (0.750, 0.750, 0.750)
Tc (0.000, 0.000, 0.000)

Calculated values
- SG = Fm-3m

Which structure is most stable? b, by 0.048 eV/atom over the runner-up.